# MnMoO4 PBE+U relaxed
data_MnMoO4
_cell_length_a 4.866
_cell_length_b 5.854
_cell_length_c 5.058
_cell_angle_alpha 90.00
_cell_angle_beta 91.02
_cell_angle_gamma 90.00
_symmetry_space_group_name_H-M 'P 1'
_symmetry_Int_Tables_number 1
_symmetry_space_group_name_Hall 'P 1'
loop_
_atom_site_label
_atom_site_type_symbol
_atom_site_fract_x
_atom_site_fract_y
_atom_site_fract_z
_atom_site_occupancy
Mn1 Mn 0.000 0.183 0.250 1
Mn2 Mn 0.000 0.817 0.750 1
Mo1 Mo 0.500 0.319 0.750 1
Mo2 Mo 0.500 0.681 0.250 1
O1 O 0.247 0.126 0.604 1
O2 O 0.247 0.874 0.104 1
O3 O 0.288 0.396 0.057 1
O4 O 0.288 0.604 0.557 1
O5 O 0.712 0.396 0.443 1
O6 O 0.712 0.604 0.943 1
O7 O 0.753 0.126 0.896 1
O8 O 0.753 0.874 0.396 1
# Space-group type: P2/c
# Energy, eV/cell: -89.1